Record 1
SrBeVPb2 | Alexandria | PBE | optimized geometry; density of states at the Fermi level = 11.03 states/eV/cell; energy relative to the elements = 45.04 kcal/mol of atoms
1.0
-0.5331 -5.7826 1.2288
3.4103 -1.0963 -3.6797
4.4058 0.4340 3.9539
Pb Sr Be V
2 1 1 1
direct
0.0000 0.0000 0.5000
0.5000 0.0000 0.0000
0.0000 0.0000 0.0000
0.0000 0.5000 0.0000
0.5000 0.5000 0.5000

***

Record 2
HoLu2Zr | Alexandria | PBE | optimized geometry; density of states at the Fermi level = 7.94 states/eV/cell; energy relative to the elements = 3.56 kcal/mol of atoms; excess energy over the best structure of this formula in the dataset = 8.4 kJ/mol of atoms
1.0
3.9402 0.0000 0.0000
0.0000 3.9402 0.0000
0.0000 0.0000 7.2244
Lu Ho Zr
2 1 1
direct
0.0000 0.0000 0.7737
0.0000 0.0000 0.2263
0.5000 0.5000 0.5000
0.5000 0.5000 0.0000

***

Record 3
PmMgSc2Tl4 | Alexandria | PBE | optimized geometry; density of states at the Fermi level = 4.77 states/eV/cell; energy relative to the elements = -5.23 kcal/mol of atoms
1.0
-4.1005 1.9533 2.4358
-4.4601 -2.5826 0.0153
-0.4399 -4.3344 8.1877
Pm Mg Sc Tl
1 1 2 4
direct
0.0000 0.0000 0.0000
0.5000 0.5000 0.5000
0.7551 0.7551 0.7348
0.2449 0.2449 0.2652
0.3797 0.3797 0.8608
0.8733 0.8733 0.3800
0.1267 0.1267 0.6200
0.6203 0.6203 0.1392

***

Record 4
Rh2AuS | Alexandria | PBE | optimized geometry; density of states at the Fermi level = 3.71 states/eV/cell; total DFT energy (no corrections) = -22.1 eV for the cell shown
1.0
3.0046 0.0000 0.0000
1.5023 2.6020 0.0000
1.5023 0.8673 7.8167
Rh S Au
2 1 1
direct
0.7360 0.7360 0.7919
0.2640 0.2640 0.2081
0.0000 0.0000 0.0000
0.5000 0.5000 0.5000